Record 1
Crystalline KAsW2 at its relaxed geometry, computed with PBE.

The space group is R3m (No. 160, hexagonal axes) and the conventional cell measures 3.1767, 3.1767 and 29.0283 Å, with angles of 90.00, 90.00 and 120.00 degrees. The distinct sites, in fractional coordinates, are K at (0.0000, 0.0000, 0.0000), As at (0.0000, 0.0000, 0.7624), W at (0.0000, 0.0000, 0.2256) and W at (0.0000, 0.0000, 0.4952).

The calculation puts the total magnetization at 0.0 μB/f.u. As for the density of states at the Fermi level: 10.53 states/eV/cell. The total DFT energy (no corrections) is -7.3723 eV per atom. Its formation energy is 541 meV/atom.

=====

Record 2
Crystalline Zn3Cu2Ir at its relaxed geometry, computed with PBE.

The space group is Cmcm (No. 63) and the conventional cell measures 5.3088, 13.1279 and 4.8096 Å, with angles of 90.00, 90.00 and 90.00 degrees. The distinct sites, in fractional coordinates, are Zn at (0.0000, 0.1406, 0.2500), Zn at (0.2453, 0.3226, 0.2500), Cu at (0.2464, 0.5000, 0.0000) and Ir at (0.0000, 0.3504, 0.7500).

The calculation puts the total magnetization at 0.0 μB/f.u. As for the density of states at the Fermi level: 10.94 states/eV/cell. Its relative energy among the computed polymorphs is 0.0 kJ per mole of atoms. The total DFT energy (no corrections) is -3.5189 eV per atom. Its formation energy is -40 meV/atom.

=====

Record 3
Crystalline TmBi6 at its relaxed geometry, computed with PBE.

The space group is Im-3m (No. 229) and the conventional cell measures 8.7883, 8.7883 and 8.7883 Å, with angles of 90.00, 90.00 and 90.00 degrees. The distinct sites, in fractional coordinates, are Tm at (0.0000, 0.0000, 0.0000) and Bi at (0.0000, 0.2500, 0.5000).

The calculation puts the total magnetization at 0.0 μB/f.u. As for the density of states at the Fermi level: 12.76 states/eV/cell. The total DFT energy (no corrections) is -3.4111 eV per atom. Its formation energy is 554 meV/atom.

=====

Record 4
Crystalline LaBeRe2 at its relaxed geometry, computed with PBE.

The space group is C2/m (No. 12) and the conventional cell measures 5.5924, 9.2859 and 2.9625 Å, with angles of 90.00, 118.27 and 90.00 degrees. The distinct sites, in fractional coordinates, are La at (0.0000, 0.0000, 0.0000), Be at (0.0000, 0.5000, 0.0000) and Re at (0.2500, 0.2500, 0.5000).

The calculation puts the total magnetization at 0.0 μB/f.u. As for the density of states at the Fermi level: 8.01 states/eV/cell. The total DFT energy (no corrections) is -7.6537 eV per atom. Its formation energy is 734 meV/atom.

=====

Record 5
Crystalline FeBMo3 at its relaxed geometry, computed with PBE.

The space group is Pm-3m (No. 221) and the conventional cell measures 4.3854, 4.3854 and 4.3854 Å, with angles of 90.00, 90.00 and 90.00 degrees. The distinct sites, in fractional coordinates, are Fe at (0.0000, 0.0000, 0.0000), B at (0.5000, 0.5000, 0.5000) and Mo at (0.0000, 0.0000, 0.5000).

The calculation puts the total magnetization at 0.0 μB/f.u. As for the density of states at the Fermi level: 5.08 states/eV/cell. Its relative energy among the computed polymorphs is 135.9 kJ per mole of atoms. The total DFT energy (no corrections) is -7.6880 eV per atom. Its formation energy is 1839 meV/atom.

=====

Record 6
Crystalline LaCrCo at its relaxed geometry, computed with PBE.

The space group is F-43m (No. 216) and the conventional cell measures 6.3170, 6.3170 and 6.3170 Å, with angles of 90.00, 90.00 and 90.00 degrees. The distinct sites, in fractional coordinates, are La at (0.0000, 0.0000, 0.0000), Cr at (0.2500, 0.2500, 0.7500) and Co at (0.2500, 0.2500, 0.2500).

The calculation puts the total magnetization at 3.9 μB/f.u. As for the density of states at the Fermi level: 11.22 states/eV/cell. Its relative energy among the computed polymorphs is 85.5 kJ per mole of atoms. The total DFT energy (no corrections) is -6.0965 eV per atom. Its formation energy is 1122 meV/atom.

=====

Record 7
Crystalline LaDy5Y at its relaxed geometry, computed with PBE.

The space group is C2/c (No. 15) and the conventional cell measures 11.7636, 6.8181 and 12.1996 Å, with angles of 90.00, 109.99 and 90.00 degrees. The distinct sites, in fractional coordinates, are La at (0.0000, 0.0281, 0.2500), Dy at (0.0000, 0.4076, 0.7500), Dy at (0.0802, 0.2752, 0.4997), Dy at (0.2194, 0.3678, 0.2491) and Y at (0.2500, 0.2500, 0.0000).

The calculation puts the total magnetization at 0.0 μB/f.u. As for the density of states at the Fermi level: 34.25 states/eV/cell. Its relative energy among the computed polymorphs is 0.0 kJ per mole of atoms. The total DFT energy (no corrections) is -4.7246 eV per atom. Its formation energy is 190 meV/atom.

=====

Record 8
Crystalline RbTlWBr6 at its relaxed geometry, computed with PBE.

The space group is P-31c (No. 163) and the conventional cell measures 7.9091, 7.9091 and 13.3599 Å, with angles of 90.00, 90.00 and 120.00 degrees. The distinct sites, in fractional coordinates, are Rb at (0.0000, 0.0000, 0.0000), Tl at (0.3333, 0.6667, 0.2500), W at (0.3333, 0.6667, 0.7500) and Br at (0.0674, 0.4050, 0.6393).

The calculation puts the total magnetization at 2.0 μB/f.u. As for the density of states at the Fermi level: 14.11 states/eV/cell. The uncorrected formation energy is -0.810 eV per atom. The total DFT energy (no corrections) is -3.7345 eV per atom.

=====

Record 9
Crystalline La8SmRh2 at its relaxed geometry, computed with PBE.

The space group is C2/m (No. 12) and the conventional cell measures 8.8042, 14.4378 and 5.8229 Å, with angles of 90.00, 101.04 and 90.00 degrees. The distinct sites, in fractional coordinates, are La at (0.0000, 0.2441, 0.0000), La at (0.0936, 0.0000, 0.7904), La at (0.2086, 0.3730, 0.5664), Sm at (0.0000, 0.5000, 0.0000) and Rh at (0.0000, 0.2070, 0.5000).

The calculation puts the total magnetization at 0.0 μB/f.u. As for the density of states at the Fermi level: 30.75 states/eV/cell. The total DFT energy (no corrections) is -5.5792 eV per atom. Its formation energy is -230 meV/atom.

=====

Record 10
Crystalline Ba2ReW at its relaxed geometry, computed with PBE.

The space group is R3m (No. 160, hexagonal axes) and the conventional cell measures 4.2983, 4.2983 and 28.3589 Å, with angles of 90.00, 90.00 and 120.00 degrees. The distinct sites, in fractional coordinates, are Ba at (0.0000, 0.0000, 0.0000), Ba at (0.0000, 0.0000, 0.1775), Re at (0.0000, 0.0000, 0.4226) and W at (0.0000, 0.0000, 0.7549).

The calculation puts the total magnetization at 0.2 μB/f.u. As for the density of states at the Fermi level: 11.34 states/eV/cell. Its relative energy among the computed polymorphs is 0.0 kJ per mole of atoms. The total DFT energy (no corrections) is -6.7400 eV per atom. Its formation energy is 572 meV/atom.

=====

Record 11
Crystalline MnBr3Cl at its relaxed geometry, computed with PBE.

The space group is Pm-3m (No. 221) and the conventional cell measures 5.1053, 5.1053 and 5.1053 Å, with angles of 90.00, 90.00 and 90.00 degrees. The distinct sites, in fractional coordinates, are Mn at (0.0000, 0.0000, 0.0000), Br at (0.0000, 0.0000, 0.5000) and Cl at (0.5000, 0.5000, 0.5000).

The calculation puts the total magnetization at 5.2 μB/f.u. As for the density of states at the Fermi level: 8.09 states/eV/cell. The uncorrected formation energy is -0.123 eV per atom. Its relative energy among the computed polymorphs is 39.0 kJ per mole of atoms. The total DFT energy (no corrections) is -3.3300 eV per atom.

=====

Record 12
Crystalline MnCd2Rh at its relaxed geometry, computed with PBE.

The space group is I-4m2 (No. 119) and the conventional cell measures 4.0841, 4.0841 and 8.2349 Å, with angles of 90.00, 90.00 and 90.00 degrees. The distinct sites, in fractional coordinates, are Mn at (0.0000, 0.0000, 0.0000), Cd at (0.0000, 0.0000, 0.5000), Cd at (0.0000, 0.5000, 0.2500) and Rh at (0.0000, 0.5000, 0.7500).

The calculation puts the total magnetization at 4.3 μB/f.u. As for the density of states at the Fermi level: 2.98 states/eV/cell. Its relative energy among the computed polymorphs is 3.7 kJ per mole of atoms. The total DFT energy (no corrections) is -4.5721 eV per atom. Its formation energy is 16 meV/atom.

=====

Record 13
Crystalline LaTlRe at its relaxed geometry, computed with PBE.

The space group is P4/nmm (No. 129, origin choice 2) and the conventional cell measures 3.2374, 3.2374 and 13.9479 Å, with angles of 90.00, 90.00 and 90.00 degrees. The distinct sites, in fractional coordinates, are La at (0.2500, 0.2500, 0.2082), Tl at (0.2500, 0.2500, 0.5902) and Re at (0.2500, 0.2500, 0.9529).

The calculation puts the total magnetization at 0.0 μB/f.u. As for the density of states at the Fermi level: 4.52 states/eV/cell. Its relative energy among the computed polymorphs is 6.3 kJ per mole of atoms. The total DFT energy (no corrections) is -6.5669 eV per atom. Its formation energy is 14 meV/atom.

=====

Record 14
Crystalline Lu2AsO at its relaxed geometry, computed with PBE.

The space group is R-3m (No. 166, hexagonal axes) and the conventional cell measures 4.2133, 4.2133 and 20.5728 Å, with angles of 90.00, 90.00 and 120.00 degrees. The distinct sites, in fractional coordinates, are Lu at (0.0000, 0.0000, 0.0962), As at (0.0000, 0.0000, 0.5000) and O at (0.0000, 0.0000, 0.0000).

The calculation puts the total magnetization at 0.0 μB/f.u. As for the density of states at the Fermi level: 7.31 states/eV/cell. The uncorrected formation energy is -1.822 eV per atom. The total DFT energy (no corrections) is -6.4849 eV per atom.

=====

Record 15
Crystalline SrLa8Nd6 at its relaxed geometry, computed with PBE.

The space group is R-3 (No. 148, hexagonal axes) and the conventional cell measures 10.0863, 10.0863 and 18.7372 Å, with angles of 90.00, 90.00 and 120.00 degrees. The distinct sites, in fractional coordinates, are Sr at (0.0000, 0.0000, 0.0000), La at (0.0000, 0.0000, 0.2348), La at (0.0434, 0.6201, 0.5659) and Nd at (0.0221, 0.7883, 0.4060).

The calculation puts the total magnetization at 0.0 μB/f.u. As for the density of states at the Fermi level: 69.61 states/eV/cell. The total DFT energy (no corrections) is -4.4907 eV per atom. Its formation energy is 156 meV/atom.

=====

Record 16
Crystalline LiMgAlHg at its relaxed geometry, computed with PBE.

The space group is F-43m (No. 216) and the conventional cell measures 6.6403, 6.6403 and 6.6403 Å, with angles of 90.00, 90.00 and 90.00 degrees. The distinct sites, in fractional coordinates, are Li at (0.0000, 0.0000, 0.0000), Mg at (0.2500, 0.2500, 0.2500), Al at (0.2500, 0.2500, 0.7500) and Hg at (0.0000, 0.0000, 0.5000).

The calculation puts the total magnetization at 0.0 μB/f.u. As for the density of states at the Fermi level: 3.57 states/eV/cell. The total DFT energy (no corrections) is -2.0166 eV per atom. Its formation energy is -128 meV/atom.